This record from Alexandria via LeMat-Bulk describes a geometry-optimized CsAs2WO8 structure. The functional is PBE+U.

Values from the calculation:
VASP energy	-6.2752	eV/atom

CIF file:
```
data_CsAs2WO8
_chemical_formula_sum 'Cs1 As2 W1 O8'
_cell_length_a 5.1542
_cell_length_b 5.1542
_cell_length_c 10.0303
_cell_angle_alpha 75.11
_cell_angle_beta 75.11
_cell_angle_gamma 60.00
_space_group_name_H-M_alt 'P 1'
_space_group_IT_number 1
loop_
_space_group_symop_operation_xyz
'x,y,z'
loop_
_atom_site_label
_atom_site_type_symbol
_atom_site_fract_x
_atom_site_fract_y
_atom_site_fract_z
Cs1 Cs 0.5000 0.5000 0.5000
As1 As 0.2701 0.2701 0.1898
As2 As 0.7299 0.7299 0.8102
W1 W 0.0000 0.0000 0.0000
O1 O 0.2122 0.2122 0.3634
O2 O 0.6272 0.2499 0.1219
O3 O 0.7878 0.7878 0.6366
O4 O 0.0009 0.6272 0.1219
O5 O 0.9991 0.3728 0.8781
O6 O 0.2499 0.0009 0.1219
O7 O 0.7501 0.9991 0.8781
O8 O 0.3728 0.7501 0.8781
```